No. 1
Compound: Sr2LiGe4Ir3
Source: Alexandria
Functional: GGA-PBE
Structure: optimized geometry

Output
The formation energy comes out at -12.9 kcal/mol of atoms. The value obtained for the total DFT energy (no corrections) is -55.93 eV/cell. The value obtained for the total magnetization is 0.000 μB/f.u. Its symmetry is P-4m2, No. 115. The calculation puts the theoretical density at 8.94 Mg/m³.

Cell lengths 4.442, 4.442, 9.880 Å; angles 90.00, 90.00, 90.00 degrees
Element x y z (fractional)
Sr  0.000  0.500  0.249
Sr  0.500  0.000  0.751
Li  0.000  0.000  0.500
Ge  0.000  0.000  0.000
Ge  0.000  0.500  0.623
Ge  0.500  0.000  0.377
Ge  0.500  0.500  0.000
Ir  0.000  0.500  0.875
Ir  0.500  0.000  0.125
Ir  0.500  0.500  0.500

***

No. 2
Compound: La4Pa6S19
Source: Alexandria
Functional: GGA-PBE
Structure: optimized geometry

Output
The value obtained for the total DFT energy (no corrections) is -204.13 eV/cell. The value obtained for the energy relative to the elements, uncorrected is -4730 kJ/mol of formula units. The value obtained for the total magnetization is 4.202 μB/f.u. Its symmetry is I23, No. 197. The calculation puts the theoretical density at 5.98 Mg/m³.

Cell lengths 9.728, 9.728, 9.728 Å; angles 109.47, 109.47, 109.47 degrees
Element x y z (fractional)
La  0.000  0.000  0.318
La  0.000  0.318  0.000
La  0.318  0.000  0.000
La  0.682  0.682  0.682
Pa  0.178  0.500  0.678
Pa  0.322  0.822  0.500
Pa  0.500  0.322  0.822
Pa  0.500  0.678  0.178
Pa  0.678  0.178  0.500
Pa  0.822  0.500  0.322
S  0.000  0.000  0.000
S  0.000  0.343  0.343
S  0.000  0.657  0.657
S  0.015  0.656  0.224
S  0.209  0.641  0.985
S  0.224  0.015  0.656
S  0.343  0.000  0.343
S  0.343  0.343  0.000
S  0.344  0.359  0.568
S  0.359  0.568  0.344
S  0.432  0.791  0.776
S  0.568  0.344  0.359
S  0.641  0.985  0.209
S  0.656  0.224  0.015
S  0.657  0.000  0.657
S  0.657  0.657  0.000
S  0.776  0.432  0.791
S  0.791  0.776  0.432
S  0.985  0.209  0.641

***

No. 3
Compound: HfZnAu2
Source: Alexandria
Functional: GGA-PBE
Structure: optimized geometry

Output
The formation energy comes out at -6.5 kcal/mol of atoms. The value obtained for the total DFT energy (no corrections) is -18.91 eV/cell. The value obtained for the total magnetization is 0.000 μB/f.u. Its symmetry is P4/mmm, No. 123. The calculation puts the theoretical density at 14.41 Mg/m³.

Cell lengths 4.562, 4.562, 3.530 Å; angles 90.00, 90.00, 90.00 degrees
Element x y z (fractional)
Hf  0.000  0.000  0.000
Zn  0.500  0.500  0.000
Au  0.000  0.500  0.500
Au  0.500  0.000  0.500

***

No. 4
Compound: Al2V5Ge2
Source: Alexandria
Functional: GGA-PBE
Structure: optimized geometry

Output
The formation energy comes out at -1.6 kcal/mol of atoms. The value obtained for the total DFT energy (no corrections) is -125.89 eV/cell. The value obtained for the total magnetization is 0.001 μB/f.u. Its symmetry is Ima2, No. 46. The calculation puts the theoretical density at 5.84 Mg/m³.

Cell lengths 8.754, 8.754, 8.754 Å; angles 59.81, 149.66, 129.78 degrees
Element x y z (fractional)
Al  0.059  0.086  0.145
Al  0.059  0.414  0.474
Al  0.941  0.586  0.526
Al  0.941  0.914  0.855
V  0.148  0.801  0.847
V  0.276  0.426  0.028
V  0.276  0.748  0.351
V  0.397  0.248  0.972
V  0.397  0.926  0.649
V  0.667  0.351  0.646
V  0.667  0.521  0.816
V  0.704  0.021  0.354
V  0.704  0.851  0.184
V  0.953  0.301  0.153
Ge  0.290  0.130  0.660
Ge  0.469  0.630  0.340
Ge  0.664  0.164  0.500
Ge  0.664  0.664  0.000